Here is a relaxed MnSi2Os crystal from the Alexandria database. Energies are from PBE-GGA.

Output
DFT total energy: -32.48 eV/cell
crystal system: tetragonal
total magnetization: 0.7 μB/cell
E_form (uncorrected): -0.3084 eV per atom
theoretical density: 10.31 Mg/m³

```
data_MnSi2Os
_chemical_formula_sum 'Mn1 Si2 Os1'
_symmetry_space_group_name_H-M 'P 4/m m m'
_symmetry_Int_Tables_number 123
_symmetry_space_group_name_Hall '-P 4 2'
_cell_length_a 4.087
_cell_length_b 4.087
_cell_length_c 2.908
_cell_angle_alpha 90.00
_cell_angle_beta 90.00
_cell_angle_gamma 90.00
loop_
_atom_site_label
_atom_site_type_symbol
_atom_site_fract_x
_atom_site_fract_y
_atom_site_fract_z
Mn1 Mn 0.000 0.000 0.000
Si1 Si 0.000 0.500 0.500
Os1 Os 0.500 0.500 0.000
```